Record 1
Density functional theory data (GGA-PBEsol) for an optimized crystal structure of Ho5CoSb2.

Results
**V**: 792 Å³ per cell
**ΔE_f (raw)**: -0.734 eV per atom

```
Ho5CoSb2
1.0
7.6973 0.0000 0.0000
0.0000 8.6136 0.0000
0.0000 0.0000 11.9389
Ho Co Sb
20 4 8
direct
0.8463 0.2500 0.2030 Ho
0.3463 0.7500 0.2970 Ho
0.1537 0.7500 0.7970 Ho
0.6537 0.2500 0.7030 Ho
0.5467 0.2500 0.9978 Ho
0.0467 0.7500 0.5022 Ho
0.4533 0.7500 0.0022 Ho
0.9533 0.2500 0.4978 Ho
0.3783 0.2500 0.3066 Ho
0.8783 0.7500 0.1934 Ho
0.6217 0.7500 0.6934 Ho
0.1217 0.2500 0.8066 Ho
0.1786 0.0365 0.0645 Ho
0.6786 0.9635 0.4355 Ho
0.8214 0.5365 0.9355 Ho
0.3214 0.4635 0.5645 Ho
0.8214 0.9635 0.9355 Ho
0.3214 0.0365 0.5645 Ho
0.1786 0.4635 0.0645 Ho
0.6786 0.5365 0.4355 Ho
0.5692 0.2500 0.4895 Co
0.0692 0.7500 0.0105 Co
0.4308 0.7500 0.5105 Co
0.9308 0.2500 0.9895 Co
0.0719 0.0081 0.3268 Sb
0.5719 0.9919 0.1732 Sb
0.9281 0.5081 0.6732 Sb
0.4281 0.4919 0.8268 Sb
0.9281 0.9919 0.6732 Sb
0.4281 0.0081 0.8268 Sb
0.0719 0.4919 0.3268 Sb
0.5719 0.5081 0.1732 Sb
```


Record 2
Density functional theory data (GGA-PBEsol) for an optimized crystal structure of Ho2Co3Si5.

Results
**V**: 285 Å³ per cell
**ΔE_f (raw)**: -0.863 eV per atom

```
Ho2Co3Si5
1.0
-2.5890 4.7462 0.5045
-7.6307 -0.9247 -1.2388
-3.3589 0.5293 7.0039
Ho Co Si
4 6 10
direct
0.8644 0.4031 0.8681 Ho
0.3644 0.8681 0.4031 Ho
0.6356 0.1319 0.5969 Ho
0.1356 0.5969 0.1319 Ho
0.2500 0.0000 0.0000 Co
0.7500 0.0000 0.0000 Co
0.8611 0.7453 0.5325 Co
0.6389 0.4675 0.2547 Co
0.3611 0.5325 0.7453 Co
0.1389 0.2547 0.4675 Co
0.0262 0.2238 0.2238 Si
0.9738 0.7762 0.7762 Si
0.5262 0.2238 0.2238 Si
0.0989 0.0623 0.7399 Si
0.9011 0.9377 0.2601 Si
0.2500 0.5000 0.5000 Si
0.7500 0.5000 0.5000 Si
0.4011 0.2601 0.9377 Si
0.5989 0.7399 0.0623 Si
0.4738 0.7762 0.7762 Si
```


Record 3
Density functional theory data (GGA-PBEsol) for an optimized crystal structure of Ho3Co2Si3.

Results
**V**: 276 Å³ per cell
**ΔE_f (raw)**: -0.814 eV per atom

```
Ho3Co2Si3
1.0
-3.6240 -1.5138 -0.9149
4.0480 -2.8873 -2.3702
0.6108 -7.9340 10.7083
Ho Co Si
6 4 6
direct
0.3627 0.7254 0.2500 Ho
0.6373 0.2746 0.7500 Ho
0.0812 0.1623 0.3877 Ho
0.9188 0.8377 0.6123 Ho
0.9188 0.8377 0.8877 Ho
0.0812 0.1623 0.1123 Ho
0.2152 0.4304 0.9205 Co
0.7848 0.5696 0.0795 Co
0.7848 0.5696 0.4205 Co
0.2152 0.4304 0.5795 Co
0.6697 0.3395 0.2500 Si
0.3303 0.6605 0.7500 Si
0.3810 0.7620 0.4598 Si
0.6190 0.2380 0.5402 Si
0.6190 0.2380 0.9598 Si
0.3810 0.7620 0.0402 Si
```


Record 4
Density functional theory data (GGA-PBEsol) for an optimized crystal structure of Ho5Co4Si14.

Results
**V**: 716 Å³ per cell
**ΔE_f (raw)**: -0.752 eV per atom

```
Ho5Co4Si14
1.0
-0.9849 -5.0079 5.7284
2.3388 -5.7407 -4.6166
11.6464 3.0308 2.1314
Ho Co Si
10 8 28
direct
0.0000 0.0000 0.5000 Ho
0.5000 0.5000 0.5000 Ho
0.1578 0.2520 0.1359 Ho
0.3422 0.7520 0.8641 Ho
0.8422 0.7480 0.8641 Ho
0.6578 0.2480 0.1359 Ho
0.8394 0.2488 0.8643 Ho
0.6606 0.7488 0.1357 Ho
0.1606 0.7512 0.1357 Ho
0.3394 0.2512 0.8643 Ho
0.8735 0.3741 0.5003 Co
0.6265 0.8741 0.4997 Co
0.1265 0.6259 0.4997 Co
0.3735 0.1259 0.5003 Co
0.9393 0.9998 0.2510 Co
0.5607 0.4998 0.7490 Co
0.0607 0.0002 0.7490 Co
0.4393 0.5002 0.2510 Co
0.8335 0.6668 0.5001 Si
0.6665 0.1668 0.4999 Si
0.1665 0.3332 0.4999 Si
0.3335 0.8332 0.5001 Si
0.8884 0.4996 0.0597 Si
0.6116 0.9996 0.9403 Si
0.1116 0.5004 0.9403 Si
0.3884 0.0004 0.0597 Si
0.2303 0.0060 0.3228 Si
0.2697 0.5060 0.6772 Si
0.7697 0.9940 0.6772 Si
0.7303 0.4940 0.3228 Si
0.6830 0.9938 0.3225 Si
0.8170 0.4938 0.6775 Si
0.3170 0.0062 0.6775 Si
0.1830 0.5062 0.3225 Si
0.9499 0.2728 0.3229 Si
0.5501 0.7728 0.6771 Si
0.0501 0.7272 0.6771 Si
0.4499 0.2272 0.3229 Si
0.9624 0.7271 0.3229 Si
0.5376 0.2271 0.6771 Si
0.0376 0.2729 0.6771 Si
0.4624 0.7729 0.3229 Si
0.8907 0.0004 0.0605 Si
0.6093 0.5004 0.9395 Si
0.1093 0.9996 0.9395 Si
0.3907 0.4996 0.0605 Si
```


Record 5
Density functional theory data (GGA-PBEsol) for an optimized crystal structure of HoCoSi.

Results
**V**: 188 Å³ per cell
**ΔE_f (raw)**: -0.806 eV per atom

```
HoCoSi
1.0
-2.4188 3.2341 -0.9063
-3.6826 -3.8681 -3.9752
-4.0608 -1.5581 5.2780
Ho Co Si
4 4 4
direct
0.2500 0.1835 0.9790 Ho
0.7500 0.8165 0.0210 Ho
0.2500 0.3165 0.4790 Ho
0.7500 0.6835 0.5210 Ho
0.2500 0.5662 0.1423 Co
0.7500 0.4338 0.8577 Co
0.2500 0.9338 0.6423 Co
0.7500 0.0662 0.3577 Co
0.2500 0.6101 0.8064 Si
0.7500 0.3899 0.1936 Si
0.2500 0.8899 0.3064 Si
0.7500 0.1101 0.6936 Si
```


Record 6
Density functional theory data (GGA-PBEsol) for an optimized crystal structure of Ho7Co6Sn23.

Results
**V**: 767 Å³ per cell
**ΔE_f**: -0.476 eV/atom

```
Ho7Co6Sn23
1.0
9.5226 0.0000 0.0000
-4.7613 8.2468 0.0000
0.0000 0.0000 9.7622
Ho Co Sn
7 6 23
direct
0.0000 0.0000 0.0000 Ho
0.4787 0.9573 0.3066 Ho
0.4787 0.5213 0.3066 Ho
0.0427 0.5213 0.3066 Ho
0.9573 0.4787 0.6934 Ho
0.5213 0.4787 0.6934 Ho
0.5213 0.0427 0.6934 Ho
0.8317 0.6633 0.1982 Co
0.8317 0.1683 0.1982 Co
0.3367 0.1683 0.1982 Co
0.6633 0.8317 0.8018 Co
0.1683 0.8317 0.8018 Co
0.1683 0.3367 0.8018 Co
0.3333 0.6667 0.8192 Sn
0.3333 0.6667 0.1160 Sn
0.6667 0.3333 0.8840 Sn
0.6532 0.0000 0.0000 Sn
0.0000 0.6532 0.0000 Sn
0.3468 0.3468 0.0000 Sn
0.3468 0.0000 0.0000 Sn
0.6667 0.3333 0.1808 Sn
0.5644 0.7822 0.5465 Sn
0.7822 0.5644 0.4535 Sn
0.7822 0.2178 0.4535 Sn
0.4356 0.2178 0.4535 Sn
0.8823 0.7646 0.7262 Sn
0.2178 0.7822 0.5465 Sn
0.2178 0.4356 0.5465 Sn
0.6532 0.6532 0.0000 Sn
0.8823 0.1177 0.7262 Sn
0.2354 0.1177 0.7262 Sn
0.7646 0.8823 0.2738 Sn
0.1177 0.8823 0.2738 Sn
0.1177 0.2354 0.2738 Sn
0.0000 0.0000 0.5000 Sn
0.0000 0.3468 0.0000 Sn
```


Q: Look up the V of the second one.
A: 285 Å³ per cell


Q: Which of these has the lowest V?
A: HoCoSi


Q: What is the V in the sixth record?
A: 767 Å³ per cell


Copy entry 2 word for word.
Density functional theory data (GGA-PBEsol) for an optimized crystal structure of Ho2Co3Si5.

Results
**V**: 285 Å³ per cell
**ΔE_f (raw)**: -0.863 eV per atom

```
Ho2Co3Si5
1.0
-2.5890 4.7462 0.5045
-7.6307 -0.9247 -1.2388
-3.3589 0.5293 7.0039
Ho Co Si
4 6 10
direct
0.8644 0.4031 0.8681 Ho
0.3644 0.8681 0.4031 Ho
0.6356 0.1319 0.5969 Ho
0.1356 0.5969 0.1319 Ho
0.2500 0.0000 0.0000 Co
0.7500 0.0000 0.0000 Co
0.8611 0.7453 0.5325 Co
0.6389 0.4675 0.2547 Co
0.3611 0.5325 0.7453 Co
0.1389 0.2547 0.4675 Co
0.0262 0.2238 0.2238 Si
0.9738 0.7762 0.7762 Si
0.5262 0.2238 0.2238 Si
0.0989 0.0623 0.7399 Si
0.9011 0.9377 0.2601 Si
0.2500 0.5000 0.5000 Si
0.7500 0.5000 0.5000 Si
0.4011 0.2601 0.9377 Si
0.5989 0.7399 0.0623 Si
0.4738 0.7762 0.7762 Si
```